Entry A
Entry from Alexandria: an optimized crystal structure of Li2Ca2Rh (PBE).

Geometry as extended XYZ:
```
10
Lattice="-6.221 -1.944 2.179 2.536 -6.140 1.761 0.993 1.643 4.299" Properties=species:S:1:pos:R:3 pbc="T T T"
Ca 1.043 -3.830 3.801
Ca -0.901 -0.972 3.157
Ca -3.736 -2.611 4.438
Li 0.080 -2.501 0.937
Li -0.074 -6.015 2.316
Rh 0.000 0.000 0.000
Ca -1.792 -5.470 5.082
Rh -1.843 -4.042 1.970
Li -3.611 -2.069 1.624
Li -3.765 -5.584 3.003
```

- N(E_F) (states/eV per cell) = 5.1
- crystal system = tetragonal
- M_tot (μB per formula unit) = 0.00
- volume (Å³/cell) = 222



Entry B
Entry from Alexandria: an optimized crystal structure of Li2Ca2Rh (PBE).

Geometry as extended XYZ:
```
5
Lattice="-1.665 1.046 -2.965 -2.704 -2.188 0.746 -6.429 6.315 3.704" Properties=species:S:1:pos:R:3 pbc="T T T"
Li -5.139 3.395 -0.186
Ca -7.869 4.536 1.750
Rh 0.000 0.000 0.000
Li -5.659 1.778 1.670
Ca -2.929 0.636 -0.266
```

- N(E_F) (states/eV per cell) = 2.5
- crystal system = tetragonal
- M_tot (μB per formula unit) = 0.00
- volume (Å³/cell) = 119



Entry C
Entry from Alexandria: an optimized crystal structure of Li2Ca2Rh (PBE).

Geometry as extended XYZ:
```
10
Lattice="4.061 -0.009 -0.726 -2.103 5.411 -0.106 -0.116 0.152 11.084" Properties=species:S:1:pos:R:3 pbc="T T T"
Li 2.224 0.965 0.697
Li -0.382 4.590 9.555
Rh 0.525 5.193 2.866
Ca 1.222 3.618 6.809
Li -1.226 4.627 4.804
Ca 0.620 1.936 3.443
Ca 2.262 4.118 0.882
Li 3.068 0.927 5.448
Rh 1.317 0.361 7.386
Ca -0.420 1.436 9.370
```

- N(E_F) (states/eV per cell) = 5.1
- crystal system = triclinic
- M_tot (μB per formula unit) = 0.00
- volume (Å³/cell) = 243



Of them, entry A has the lowest stability.



Entry A
Entry from Alexandria: an optimized crystal structure of LiCaRh3 (PBE).

Geometry as extended XYZ:
```
5
Lattice="4.323 0.000 0.000 0.000 4.323 0.000 0.000 0.000 4.323" Properties=species:S:1:pos:R:3 pbc="T T T"
Rh 0.000 0.000 2.161
Li 0.000 0.000 0.000
Rh 2.161 0.000 0.000
Ca 2.161 2.161 2.161
Rh 0.000 2.161 0.000
```

- N(E_F) (states/eV per cell) = 4.2
- crystal system = cubic
- M_tot (μB per formula unit) = 0.00
- volume (Å³/cell) = 81



Entry B
Entry from Alexandria: an optimized crystal structure of LiCaRh3 (PBE).

Geometry as extended XYZ:
```
5
Lattice="-1.873 -4.389 0.801 2.327 -0.220 4.237 -3.807 2.025 2.195" Properties=species:S:1:pos:R:3 pbc="T T T"
Li -1.676 -1.292 3.617
Ca 0.000 0.000 0.000
Rh 1.163 -0.110 2.118
Rh -0.936 -2.194 0.401
Rh -1.903 1.012 1.098
```

- N(E_F) (states/eV per cell) = 6.5
- crystal system = cubic
- M_tot (μB per formula unit) = 1.69
- volume (Å³/cell) = 113



Of them, entry B has the lowest stability.



Entry A
Entry from Alexandria: an optimized crystal structure of LiCaZnRh (PBE).

Geometry as extended XYZ:
```
4
Lattice="-1.818 3.634 -1.606 -2.495 -3.008 1.963 2.918 2.968 3.411" Properties=species:S:1:pos:R:3 pbc="T T T"
Li -2.781 1.385 0.339
Ca -0.257 3.037 1.219
Zn 2.077 2.585 3.498
Rh -0.234 1.648 3.995
```

- N(E_F) (states/eV per cell) = 1.7
- crystal system = monoclinic
- M_tot (μB per formula unit) = 0.00
- volume (Å³/cell) = 79



Entry B
Entry from Alexandria: an optimized crystal structure of LiCaZnRh (PBE).

Geometry as extended XYZ:
```
4
Lattice="4.634 0.000 0.000 2.317 4.013 0.000 2.317 1.338 3.783" Properties=species:S:1:pos:R:3 pbc="T T T"
Zn 0.000 0.000 0.000
Ca 4.634 2.675 1.892
Li 2.317 1.338 0.946
Rh 6.950 4.013 2.837
```

- N(E_F) (states/eV per cell) = 2.0
- crystal system = cubic
- M_tot (μB per formula unit) = 0.00
- volume (Å³/cell) = 70



Of them, entry B has the lowest stability.



Entry A
Entry from Alexandria: an optimized crystal structure of LiCaRu (PBE).

Geometry as extended XYZ:
```
12
Lattice="4.417 0.000 0.000 0.000 4.921 0.000 0.000 0.000 11.131" Properties=species:S:1:pos:R:3 pbc="T T T"
Li 0.000 0.000 11.065
Li 0.000 0.000 3.939
Ru 0.000 0.000 6.657
Li 0.000 2.461 9.505
Ca 2.209 0.000 1.574
Ru 0.000 2.461 1.092
Ru 2.209 2.461 0.081
Ru 2.209 0.000 5.646
Ca 2.209 0.000 9.104
Ca 2.209 2.461 7.139
Ca 2.209 2.461 3.539
Li 0.000 2.461 5.500
```

- N(E_F) (states/eV per cell) = 7.6
- crystal system = orthorhombic
- M_tot (μB per formula unit) = 0.00
- volume (Å³/cell) = 242



Entry B
Entry from Alexandria: an optimized crystal structure of LiCaRu (PBE).

Geometry as extended XYZ:
```
6
Lattice="4.347 0.000 0.000 0.000 4.687 0.000 -0.011 0.000 6.399" Properties=species:S:1:pos:R:3 pbc="T T T"
Li 2.250 0.000 1.137
Ca 2.239 2.344 3.374
Ca 0.062 0.000 5.596
Ru 2.235 2.344 0.141
Li 0.075 0.000 2.361
Ru 0.061 2.344 1.141
```

- N(E_F) (states/eV per cell) = 3.7
- crystal system = monoclinic
- M_tot (μB per formula unit) = 0.00
- volume (Å³/cell) = 130



Entry C
Entry from Alexandria: an optimized crystal structure of LiCaRu (PBE).

Geometry as extended XYZ:
```
12
Lattice="7.477 0.000 0.000 0.000 4.393 0.000 -7.290 0.000 7.708" Properties=species:S:1:pos:R:3 pbc="T T T"
Li -4.355 0.000 5.244
Ru 0.531 0.000 4.773
Ca 1.700 0.000 1.984
Li 2.800 2.196 3.544
Ru 3.831 0.000 0.019
Ru 4.176 2.196 0.919
Ca -5.692 2.196 6.734
Li -0.845 0.000 7.398
Ca -1.945 2.196 5.838
Li -0.710 2.196 1.390
Ca -2.047 0.000 2.880
Ru 0.186 2.196 3.873
```

- N(E_F) (states/eV per cell) = 6.7
- crystal system = monoclinic
- M_tot (μB per formula unit) = 0.00
- volume (Å³/cell) = 253



Entry D
Entry from Alexandria: an optimized crystal structure of LiCaRu (PBE).

Geometry as extended XYZ:
```
6
Lattice="-3.724 0.965 -1.907 -1.472 -5.283 0.200 -0.181 1.833 6.114" Properties=species:S:1:pos:R:3 pbc="T T T"
Ru -2.254 -3.733 2.513
Li -3.344 -3.314 0.020
Li -2.032 0.830 4.388
Ru -3.122 1.248 1.895
Ca -1.009 -1.123 1.401
Ca -4.367 -1.361 3.007
```

- N(E_F) (states/eV per cell) = 4.2
- crystal system = monoclinic
- M_tot (μB per formula unit) = 0.00
- volume (Å³/cell) = 137



Of them, entry A has the lowest stability.



Entry A
Entry from Alexandria: an optimized crystal structure of Li3CaS (PBE).

Geometry as extended XYZ:
```
5
Lattice="5.381 0.000 0.000 0.000 5.381 0.000 0.000 0.000 5.381" Properties=species:S:1:pos:R:3 pbc="T T T"
Li 0.000 0.000 2.691
Ca 0.000 0.000 0.000
S 2.691 2.691 2.691
Li 0.000 2.691 0.000
Li 2.691 0.000 0.000
```

- N(E_F) (states/eV per cell) = 3.1
- crystal system = cubic
- M_tot (μB per formula unit) = 0.00
- volume (Å³/cell) = 156



Entry B
Entry from Alexandria: an optimized crystal structure of Li3CaS (PBE).

Geometry as extended XYZ:
```
5
Lattice="-1.795 -0.582 4.447 -0.446 -4.743 -0.801 4.463 -0.708 1.709" Properties=species:S:1:pos:R:3 pbc="T T T"
Li -0.898 -0.291 2.224
Li 2.231 -0.354 0.854
Ca 1.111 -3.017 2.677
Li -0.223 -2.372 -0.401
S 0.000 0.000 0.000
```

- N(E_F) (states/eV per cell) = 3.1
- crystal system = cubic
- M_tot (μB per formula unit) = 0.80
- volume (Å³/cell) = 113



Of them, entry A has the lowest stability.



Entry A
Entry from Alexandria: an optimized crystal structure of Li3CaSb (PBE).

Geometry as extended XYZ:
```
20
Lattice="-6.562 -2.991 1.235 3.206 -4.898 5.172 -2.702 7.673 4.227" Properties=species:S:1:pos:R:3 pbc="T T T"
Sb -0.190 -0.509 7.479
Li -1.870 2.017 2.507
Li -5.740 3.284 7.452
Ca 1.573 -1.481 4.855
Sb -5.868 0.293 3.155
Sb -6.881 4.283 5.205
Li -0.909 0.683 5.151
Li -5.149 -0.899 5.482
Li -1.554 -2.762 6.256
Ca -3.034 0.871 7.581
Li -1.844 -5.617 5.827
Ca -3.024 -1.087 3.053
Li -6.291 -2.721 2.854
Li 0.233 2.505 7.779
Li -4.214 5.401 4.807
Li -4.188 -2.233 8.127
Li -4.504 2.546 4.377
Sb 0.823 -4.499 5.429
Li -0.318 -3.500 3.181
Ca -7.631 1.265 5.779
```

- N(E_F) (states/eV per cell) = 4.4
- crystal system = monoclinic
- M_tot (μB per formula unit) = 0.00
- volume (Å³/cell) = 493



Entry B
Entry from Alexandria: an optimized crystal structure of Li3CaSb (PBE).

Geometry as extended XYZ:
```
5
Lattice="5.181 0.000 0.000 0.000 5.181 0.000 0.000 0.000 5.181" Properties=species:S:1:pos:R:3 pbc="T T T"
Li 2.591 0.000 0.000
Li 0.000 2.591 0.000
Sb 0.000 0.000 0.000
Ca 2.591 2.591 2.591
Li 0.000 0.000 2.591
```

- N(E_F) (states/eV per cell) = 2.3
- crystal system = cubic
- M_tot (μB per formula unit) = 0.00
- volume (Å³/cell) = 139



Of them, entry B has the lowest stability.



Entry A
Entry from Alexandria: an optimized crystal structure of Li2Ca2Sb (PBE).

Geometry as extended XYZ:
```
10
Lattice="8.125 0.000 0.000 0.000 8.125 0.000 0.000 0.000 5.170" Properties=species:S:1:pos:R:3 pbc="T T T"
Sb 4.062 4.062 0.000
Ca 1.308 2.755 0.000
Li 2.939 1.123 2.585
Li 5.186 7.002 2.585
Sb 0.000 0.000 0.000
Li 7.002 2.939 2.585
Ca 5.370 1.308 0.000
Ca 6.817 5.370 0.000
Li 1.123 5.186 2.585
Ca 2.755 6.817 0.000
```

- N(E_F) (states/eV per cell) = 10.7
- crystal system = tetragonal
- M_tot (μB per formula unit) = 0.00
- volume (Å³/cell) = 341



Entry B
Entry from Alexandria: an optimized crystal structure of Li2Ca2Sb (PBE).

Geometry as extended XYZ:
```
10
Lattice="-2.392 -3.065 -6.209 5.478 -4.854 0.286 -2.795 -3.003 2.559" Properties=species:S:1:pos:R:3 pbc="T T T"
Ca -1.126 -3.368 -0.613
Sb 0.000 0.000 0.000
Ca 1.418 -7.555 -2.749
Ca -1.625 -5.517 -3.681
Li 1.371 -5.725 -5.221
Li 1.716 -2.195 -0.702
Ca 1.917 -5.406 0.318
Sb 1.543 -3.960 -2.961
Li 3.881 -5.357 -2.048
Li -0.794 -2.563 -3.875
```

- N(E_F) (states/eV per cell) = 11.5
- crystal system = tetragonal
- M_tot (μB per formula unit) = 0.11
- volume (Å³/cell) = 259



Of them, entry A has the lowest stability.



Entry A
Entry from Alexandria: an optimized crystal structure of LiCaSbTe2 (PBE).

Geometry as extended XYZ:
```
5
Lattice="-5.518 -1.767 1.031 1.963 -5.409 1.236 0.566 1.475 5.555" Properties=species:S:1:pos:R:3 pbc="T T T"
Ca 0.000 0.000 0.000
Li -1.495 -2.850 3.911
Te -2.759 -0.883 0.515
Te 0.981 -2.704 0.618
Sb 0.283 0.737 2.777
```

- N(E_F) (states/eV per cell) = 4.8
- crystal system = tetragonal
- M_tot (μB per formula unit) = 0.00
- volume (Å³/cell) = 200



Entry B
Entry from Alexandria: an optimized crystal structure of LiCaSbTe2 (PBE).

Geometry as extended XYZ:
```
5
Lattice="5.443 0.000 0.000 0.000 5.443 0.000 0.000 0.000 4.801" Properties=species:S:1:pos:R:3 pbc="T T T"
Ca 2.721 2.721 2.401
Sb 0.000 0.000 2.401
Te 2.721 0.000 0.000
Te 0.000 2.721 0.000
Li 0.000 0.000 0.000
```

- N(E_F) (states/eV per cell) = 3.1
- crystal system = tetragonal
- M_tot (μB per formula unit) = 0.00
- volume (Å³/cell) = 142



Of them, entry A has the lowest stability.



Entry A
Entry from Alexandria: an optimized crystal structure of LiCa2Sc (PBE).

Geometry as extended XYZ:
```
4
Lattice="-5.398 -0.812 3.323 0.104 -4.860 4.149 3.833 4.947 -1.293" Properties=species:S:1:pos:R:3 pbc="T T T"
Li -2.647 -2.836 3.736
Ca 0.000 0.000 0.000
Ca 0.645 -1.374 3.296
Sc -2.106 0.650 2.883
```

- N(E_F) (states/eV per cell) = 6.4
- crystal system = tetragonal
- M_tot (μB per formula unit) = 0.01
- volume (Å³/cell) = 127



Entry B
Entry from Alexandria: an optimized crystal structure of LiCa2Sc (PBE).

Geometry as extended XYZ:
```
4
Lattice="-1.325 -1.304 5.329 -4.548 -3.161 1.084 0.621 -5.297 1.847" Properties=species:S:1:pos:R:3 pbc="T T T"
Ca -3.939 -7.321 6.195
Sc -2.626 -4.881 4.130
Li 0.000 0.000 0.000
Ca -1.313 -2.440 2.065
```

- N(E_F) (states/eV per cell) = 5.5
- crystal system = cubic
- M_tot (μB per formula unit) = 0.00
- volume (Å³/cell) = 127



Of them, entry A has the lowest stability.



Entry A
Entry from Alexandria: an optimized crystal structure of LiCa2Sc (PBE).

Geometry as extended XYZ:
```
4
Lattice="3.703 0.000 0.000 0.000 3.703 0.000 0.000 0.000 9.062" Properties=species:S:1:pos:R:3 pbc="T T T"
Li 0.000 0.000 4.787
Ca 0.000 0.000 8.802
Sc 1.851 1.851 6.356
Ca 1.851 1.851 2.710
```

- N(E_F) (states/eV per cell) = 5.9
- crystal system = tetragonal
- M_tot (μB per formula unit) = 0.99
- volume (Å³/cell) = 124



Entry B
Entry from Alexandria: an optimized crystal structure of LiCa2Sc (PBE).

Geometry as extended XYZ:
```
8
Lattice="8.566 0.000 0.000 0.000 8.566 0.000 4.283 4.283 3.380" Properties=species:S:1:pos:R:3 pbc="T T T"
Ca 6.424 6.754 2.535
Li 4.283 4.283 0.000
Li 4.283 8.566 1.690
Ca 6.095 2.141 0.845
Ca 10.707 10.378 2.535
Sc 0.000 0.000 0.000
Ca 2.471 6.424 0.845
Sc 8.566 4.283 1.690
```

- N(E_F) (states/eV per cell) = 7.9
- crystal system = tetragonal
- M_tot (μB per formula unit) = 0.00
- volume (Å³/cell) = 248



Of them, entry B has the lowest stability.



Entry A
Entry from Alexandria: an optimized crystal structure of LiCa2Sc (PBE).

Geometry as extended XYZ:
```
4
Lattice="-0.028 -3.885 0.926 0.550 -0.921 -3.847 8.289 -0.724 -2.781" Properties=species:S:1:pos:R:3 pbc="T T T"
Li 2.195 -2.354 -1.194
Sc 6.615 -3.176 -4.508
Ca 0.575 -0.921 -3.845
Ca 4.394 -0.823 -3.316
```

- N(E_F) (states/eV per cell) = 3.2
- crystal system = monoclinic
- M_tot (μB per formula unit) = 0.00
- volume (Å³/cell) = 125



Entry B
Entry from Alexandria: an optimized crystal structure of LiCa2Sc (PBE).

Geometry as extended XYZ:
```
4
Lattice="4.023 0.000 0.000 0.000 5.734 0.000 0.000 0.000 5.430" Properties=species:S:1:pos:R:3 pbc="T T T"
Ca 0.000 0.000 0.000
Sc 0.000 2.867 2.715
Ca 2.011 2.867 0.000
Li 2.011 0.000 2.715
```

- N(E_F) (states/eV per cell) = 5.4
- crystal system = orthorhombic
- M_tot (μB per formula unit) = 0.00
- volume (Å³/cell) = 125



Entry C
Entry from Alexandria: an optimized crystal structure of LiCa2Sc (PBE).

Geometry as extended XYZ:
```
4
Lattice="11.522 0.003 0.002 10.953 3.578 0.002 10.953 1.745 3.124" Properties=species:S:1:pos:R:3 pbc="T T T"
Ca 0.005 0.001 0.000
Sc 25.071 3.994 2.345
Ca 16.709 2.662 1.563
Li 8.357 1.331 0.782
```

- N(E_F) (states/eV per cell) = 4.9
- crystal system = trigonal
- M_tot (μB per formula unit) = 0.87
- volume (Å³/cell) = 129



Of them, entry B has the lowest stability.